[1]
La8CuNi2 | PBE | relaxed

Unit cell a=6.4083 b=7.8064 c=7.8064 alpha=116.53 beta=99.54 gamma=99.54
With the nearest neighbours (Å) after each atom.
Atoms (fractional coordinates):
La (0.5975, 0.3628, 0.0967)  2 Ni 2.76-2.80
La (0.5975, 0.0967, 0.3628)  2 Ni 2.76-2.80
La (0.1805, 0.3642, 0.3642)  1 Cu 2.94
La (0.9622, 0.1828, 0.7664)  1 Cu 3.11, 1 Ni 3.29, 2 La 3.31-3.45
La (0.9622, 0.7664, 0.1828)  1 Cu 3.11, 1 Ni 3.29, 2 La 3.31-3.45
La (0.7870, 0.6490, 0.6490)  2 Ni 3.07, 1 Cu 3.27
La (0.3415, 0.9151, 0.6345)  2 Ni 2.71-3.00, 1 Cu 3.03
La (0.3415, 0.6345, 0.9151)  2 Ni 2.71-3.00, 1 Cu 3.03
Cu (0.1952, 0.0094, 0.0094)  8 La 2.94-3.27
Ni (0.5173, 0.7193, 0.3338)  4 La 2.71-3.00
Ni (0.5173, 0.3338, 0.7193)  4 La 2.71-3.00

Results
* ΔE_f: -0.05 eV per atom
* space-group type: No. 8
* ρ: 6.47 g/cm3
* E_tot: -5.060 eV/atom



[2]
La7Cu2Ni2 | PBE | relaxed

Unit cell a=6.9218 b=7.1119 c=6.9218 alpha=90.00 beta=113.35 gamma=90.00
With the nearest neighbours (Å) after each atom.
Atoms (fractional coordinates):
La (0.9998, 0.2692, 0.5003)  2 Ni 2.77
La (0.5003, 0.7308, 0.9998)  2 Ni 2.77
La (0.0002, 0.7308, 0.4997)  2 Ni 2.77
La (0.4997, 0.2692, 0.0002)  2 Ni 2.77
La (0.0000, 0.0000, 0.0000)  2 Ni 3.52, 4 Cu 3.76
La (0.5002, 0.7396, 0.4998)  2 Ni 2.92-2.93, 2 Cu 3.10
La (0.4998, 0.2604, 0.5002)  2 Ni 2.92-2.93, 2 Cu 3.10
Cu (0.8398, 0.5000, 0.8398)  1 Cu 2.44
Cu (0.1602, 0.5000, 0.1602)  1 Cu 2.44
Ni (0.6957, 0.0000, 0.3043)  6 La 2.77-2.93
Ni (0.3043, 0.0000, 0.6957)  6 La 2.77-2.93

Results
* ΔE_f: -0.05 eV per atom
* space-group type: No. 65
* ρ: 6.46 g/cm3
* E_tot: -4.981 eV/atom



[3]
LaCu4Ni | PBE | relaxed

Unit cell a=5.0573 b=5.0573 c=5.0573 alpha=60.00 beta=60.00 gamma=60.00
With the nearest neighbours (Å) after each atom.
Atoms (fractional coordinates):
La (0.7500, 0.7500, 0.7500)  12 Cu 2.97, 4 Ni 3.10
Cu (0.8807, 0.3731, 0.3731)  6 Cu 2.49-2.57
Cu (0.3731, 0.3731, 0.8807)  6 Cu 2.49-2.57
Cu (0.3731, 0.8807, 0.3731)  6 Cu 2.49-2.57
Cu (0.3731, 0.3731, 0.3731)  6 Cu 2.49-2.57
Ni (0.0000, 0.0000, 0.0000)  12 Cu 2.96, 4 La 3.10

Results
* ΔE_f: -0.09 eV per atom
* space-group type: No. 216
* ρ: 8.20 g/cm3
* E_tot: -4.603 eV/atom



[4]
LaCu2Ni2 | PBE | relaxed

Unit cell a=4.0129 b=4.0129 c=10.5845 alpha=100.93 beta=100.93 gamma=90.00
With the nearest neighbours (Å) after each atom.
Atoms (fractional coordinates):
La (0.6270, 0.6270, 0.2541)  8 Cu 3.06-3.28, 8 Ni 3.10-3.21
La (0.3730, 0.3730, 0.7459)  8 Cu 3.06-3.28, 8 Ni 3.10-3.21
Cu (0.0000, 0.5000, 0.0000)  4 Ni 2.42
Cu (0.1834, 0.1834, 0.3668)  5 Ni 2.39-2.42
Cu (0.5000, 0.0000, 0.0000)  4 Ni 2.42
Cu (0.8166, 0.8166, 0.6332)  5 Ni 2.39-2.42
Ni (0.7500, 0.2500, 0.5000)  4 Cu 2.42
Ni (0.9340, 0.9340, 0.8681)  5 Cu 2.39-2.42
Ni (0.0660, 0.0660, 0.1319)  5 Cu 2.39-2.42
Ni (0.2500, 0.7500, 0.5000)  4 Cu 2.42

Results
* ΔE_f: -0.16 eV per atom
* space-group type: No. 139
* ρ: 7.75 g/cm3
* E_tot: -5.098 eV/atom



[5]
La2CuNi16 | PBE | relaxed

Unit cell a=6.3351 b=6.3351 c=6.3351 alpha=83.25 beta=83.25 gamma=83.25
With the nearest neighbours (Å) after each atom.
Atoms (fractional coordinates):
La (0.3426, 0.3426, 0.3426)  1 Cu 3.00, 18 Ni 3.01-3.25
La (0.6589, 0.6589, 0.6589)  19 Ni 2.95-3.22
Cu (0.0966, 0.0966, 0.0966)  7 Ni 2.39-2.60
Ni (0.2892, 0.0001, 0.7106)  8 Ni 2.39-2.60
Ni (0.0001, 0.7106, 0.2892)  8 Ni 2.39-2.60
Ni (0.7106, 0.2892, 0.0001)  8 Ni 2.39-2.60
Ni (0.0001, 0.2892, 0.7106)  8 Ni 2.39-2.60
Ni (0.2892, 0.7106, 0.0001)  8 Ni 2.39-2.60
Ni (0.7106, 0.0001, 0.2892)  8 Ni 2.39-2.60
Ni (0.6574, 0.1517, 0.6574)  9 Ni 2.41-2.60
Ni (0.1517, 0.6574, 0.6574)  9 Ni 2.41-2.60
Ni (0.6574, 0.6574, 0.1517)  9 Ni 2.41-2.60
Ni (0.3430, 0.8489, 0.3430)  8 Ni 2.43-2.59, 1 Cu 2.60
Ni (0.8489, 0.3430, 0.3430)  8 Ni 2.43-2.59, 1 Cu 2.60
Ni (0.3430, 0.3430, 0.8489)  8 Ni 2.43-2.59, 1 Cu 2.60
Ni (0.9989, 0.5021, 0.9989)  9 Ni 2.39-2.55, 1 Cu 2.59
Ni (0.5021, 0.9989, 0.9989)  9 Ni 2.39-2.55, 1 Cu 2.59
Ni (0.9989, 0.9989, 0.5021)  9 Ni 2.39-2.55, 1 Cu 2.59
Ni (0.9007, 0.9007, 0.9007)  1 Cu 2.39, 6 Ni 2.55-2.59

Results
* ΔE_f: -0.16 eV per atom
* space-group type: No. 160
* ρ: 8.53 g/cm3
* E_tot: -5.764 eV/atom



[6]
LaCu9Ni3 | PBE | relaxed

Unit cell a=4.8718 b=6.5001 c=6.4744 alpha=81.49 beta=67.90 gamma=66.84
With the nearest neighbours (Å) after each atom.
Atoms (fractional coordinates):
La (0.0000, 0.0000, 0.0000)  14 Cu 3.00-3.25, 6 Ni 3.20-3.24
Cu (0.7307, 0.7712, 0.7692)  3 Ni 2.43-2.47, 5 Cu 2.44-2.69
Cu (0.2693, 0.2288, 0.2308)  3 Ni 2.43-2.47, 5 Cu 2.44-2.69
Cu (0.5001, 0.2288, 0.7692)  3 Ni 2.43-2.47, 5 Cu 2.44-2.69
Cu (0.4999, 0.7712, 0.2308)  3 Ni 2.43-2.47, 5 Cu 2.44-2.69
Cu (0.6330, 0.3523, 0.3564)  6 Cu 2.47-2.69, 3 Ni 2.57-2.59
Cu (0.3670, 0.6477, 0.6436)  6 Cu 2.47-2.69, 3 Ni 2.57-2.59
Cu (0.0106, 0.6477, 0.3564)  6 Cu 2.47-2.69, 3 Ni 2.57-2.59
Cu (0.9894, 0.3523, 0.6436)  6 Cu 2.47-2.69, 3 Ni 2.57-2.59
Cu (0.0000, 0.5000, 0.0000)  2 Ni 2.44, 8 Cu 2.44-2.65
Ni (0.5000, 0.5000, 0.0000)  10 Cu 2.44-2.58
Ni (0.0000, 0.0000, 0.5000)  8 Cu 2.43-2.59, 2 Ni 2.44
Ni (0.5000, 0.0000, 0.5000)  8 Cu 2.43-2.59, 2 Ni 2.44

Results
* ΔE_f: -0.09 eV per atom
* space-group type: No. 12
* ρ: 8.43 g/cm3
* E_tot: -4.641 eV/atom



[7]
La2CuNi | PBE | relaxed

Unit cell a=4.5237 b=5.8541 c=7.7401 alpha=109.07 beta=90.00 gamma=90.00
With the nearest neighbours (Å) after each atom.
Atoms (fractional coordinates):
La (0.7500, 0.2237, 0.4364)  3 Ni 2.92-3.07, 3 Cu 3.00-3.07
La (0.2500, 0.7763, 0.5636)  3 Ni 2.92-3.07, 3 Cu 3.00-3.07
La (0.2500, 0.7656, 0.0703)  3 Ni 2.90-3.08, 3 Cu 2.99-3.09
La (0.7500, 0.2344, 0.9297)  3 Ni 2.90-3.08, 3 Cu 2.99-3.09
Cu (0.2500, 0.3531, 0.2169)  2 Ni 2.69, 2 La 2.99-3.00
Cu (0.7500, 0.6469, 0.7831)  2 Ni 2.69, 2 La 2.99-3.00
Ni (0.7500, 0.6163, 0.2809)  2 Cu 2.69, 2 La 2.90-2.92
Ni (0.2500, 0.3837, 0.7191)  2 Cu 2.69, 2 La 2.90-2.92

Results
* ΔE_f: -0.25 eV per atom
* space-group type: No. 11
* ρ: 6.86 g/cm3
* E_tot: -5.183 eV/atom



[8]
La3CuNi | PBE | relaxed

Unit cell a=6.4116 b=6.4116 c=7.9406 alpha=71.67 beta=71.67 gamma=63.11
With the nearest neighbours (Å) after each atom.
Atoms (fractional coordinates):
La (0.3108, 0.3108, 0.8563)  2 Ni 2.99, 2 Cu 3.09
La (0.6892, 0.6892, 0.1437)  2 Ni 2.99, 2 Cu 3.09
La (0.0076, 0.0076, 0.7616)  2 Ni 2.79, 2 Cu 2.97
La (0.9924, 0.9924, 0.2384)  2 Ni 2.79, 2 Cu 2.97
La (0.6893, 0.6893, 0.6682)  2 Ni 2.97, 2 Cu 3.12
La (0.3107, 0.3107, 0.3318)  2 Ni 2.97, 2 Cu 3.12
Cu (0.6886, 0.3114, 0.5000)  1 Cu 2.53
Cu (0.3114, 0.6886, 0.5000)  1 Cu 2.53
Ni (0.3092, 0.6908, 0.0000)  1 Ni 2.56, 2 La 2.79
Ni (0.6908, 0.3092, 0.0000)  1 Ni 2.56, 2 La 2.79

Results
* ΔE_f: -0.18 eV per atom
* space-group type: No. 12
* ρ: 6.62 g/cm3
* E_tot: -5.112 eV/atom



[9]
La2Cu6Ni3 | PBE | relaxed

Unit cell a=3.9086 b=7.2481 c=7.2481 alpha=120.00 beta=90.00 gamma=90.00
With the nearest neighbours (Å) after each atom.
Atoms (fractional coordinates):
La (0.0000, 0.6667, 0.3333)  6 Ni 2.95, 3 Cu 3.04
La (0.0000, 0.3333, 0.6667)  6 Ni 2.95, 3 Cu 3.04
Cu (0.5000, 0.7506, 0.7506)  3 Ni 2.52-2.56, 4 Cu 2.56
Cu (0.5000, 0.0000, 0.2494)  3 Ni 2.52-2.56, 4 Cu 2.56
Cu (0.0000, 0.1950, 0.1950)  6 Cu 2.45-2.56, 2 Ni 2.47
Cu (0.0000, 0.8050, 0.0000)  6 Cu 2.45-2.56, 2 Ni 2.47
Cu (0.5000, 0.2494, 0.0000)  3 Ni 2.52-2.56, 4 Cu 2.56
Cu (0.0000, 0.0000, 0.8050)  6 Cu 2.45-2.56, 2 Ni 2.47
Ni (0.5000, 0.4035, 0.4035)  5 Cu 2.47-2.56
Ni (0.5000, 0.5965, 0.0000)  5 Cu 2.47-2.56
Ni (0.5000, 0.0000, 0.5965)  5 Cu 2.47-2.56

Results
* ΔE_f: -0.12 eV per atom
* space-group type: No. 189
* ρ: 7.80 g/cm3
* E_tot: -4.831 eV/atom



[10]
LaCu2Ni2 | PBE | relaxed

Unit cell a=7.2025 b=7.2025 c=2.9371 alpha=90.00 beta=90.00 gamma=90.00
With the nearest neighbours (Å) after each atom.
Atoms (fractional coordinates):
Ni (0.1676, 0.6676, 0.5000)  6 Cu 2.57-2.60
Ni (0.6676, 0.8324, 0.5000)  6 Cu 2.57-2.60
Ni (0.8324, 0.3324, 0.5000)  6 Cu 2.57-2.60
Ni (0.3324, 0.1676, 0.5000)  6 Cu 2.57-2.60
Cu (0.3784, 0.8784, 0.0000)  1 Cu 2.48, 6 Ni 2.57-2.60
Cu (0.8784, 0.6216, 0.0000)  1 Cu 2.48, 6 Ni 2.57-2.60
Cu (0.6216, 0.1216, 0.0000)  1 Cu 2.48, 6 Ni 2.57-2.60
Cu (0.1216, 0.3784, 0.0000)  1 Cu 2.48, 6 Ni 2.57-2.60
La (0.0000, 0.0000, 0.0000)  4 Cu 2.86, 2 La 2.94, 8 Ni 3.06
La (0.5000, 0.5000, 0.0000)  4 Cu 2.86, 2 La 2.94, 8 Ni 3.06

Results
* ΔE_f: 0.02 eV per atom
* space-group type: No. 127
* ρ: 8.36 g/cm3
* E_tot: -4.916 eV/atom



[11]
LaCu2Ni2 | PBE | relaxed

Unit cell a=3.9035 b=3.9035 c=6.0155 alpha=71.07 beta=71.07 gamma=90.00
With the nearest neighbours (Å) after each atom.
Atoms (fractional coordinates):
Ni (0.3903, 0.3903, 0.2193)  1 Ni 2.34, 4 Cu 2.46
Ni (0.6097, 0.6097, 0.7807)  1 Ni 2.34, 4 Cu 2.46
Cu (0.7500, 0.2500, 0.5000)  4 Ni 2.46
Cu (0.2500, 0.7500, 0.5000)  4 Ni 2.46
La (0.0000, 0.0000, 0.0000)  8 Ni 3.00, 8 Cu 3.31

Results
* ΔE_f: -0.17 eV per atom
* space-group type: No. 139
* ρ: 7.82 g/cm3
* E_tot: -5.111 eV/atom



Please write out number 10 again, unchanged.
LaCu2Ni2 | PBE | relaxed

Unit cell a=7.2025 b=7.2025 c=2.9371 alpha=90.00 beta=90.00 gamma=90.00
With the nearest neighbours (Å) after each atom.
Atoms (fractional coordinates):
Ni (0.1676, 0.6676, 0.5000)  6 Cu 2.57-2.60
Ni (0.6676, 0.8324, 0.5000)  6 Cu 2.57-2.60
Ni (0.8324, 0.3324, 0.5000)  6 Cu 2.57-2.60
Ni (0.3324, 0.1676, 0.5000)  6 Cu 2.57-2.60
Cu (0.3784, 0.8784, 0.0000)  1 Cu 2.48, 6 Ni 2.57-2.60
Cu (0.8784, 0.6216, 0.0000)  1 Cu 2.48, 6 Ni 2.57-2.60
Cu (0.6216, 0.1216, 0.0000)  1 Cu 2.48, 6 Ni 2.57-2.60
Cu (0.1216, 0.3784, 0.0000)  1 Cu 2.48, 6 Ni 2.57-2.60
La (0.0000, 0.0000, 0.0000)  4 Cu 2.86, 2 La 2.94, 8 Ni 3.06
La (0.5000, 0.5000, 0.0000)  4 Cu 2.86, 2 La 2.94, 8 Ni 3.06

Results
* ΔE_f: 0.02 eV per atom
* space-group type: No. 127
* ρ: 8.36 g/cm3
* E_tot: -4.916 eV/atom



Which formula does entry 3 have? LaCu4Ni